VASP calculation (PBE with a Hubbard U) on an optimized crystal structure of CrGe2MoO8.

Unit cell a=5.5880 b=5.5880 c=5.5880 alpha=108.64 beta=108.64 gamma=111.15
Last column: nearest neighbours and their distance in Å.
Fractional coordinates of all 12 atoms:
Cr1 0.0000 0.0000 0.0000  8 O 2.07-2.31
Ge1 0.5000 0.5000 0.0000  4 O 1.74
Ge2 0.7500 0.2500 0.5000  4 O 1.79
Mo1 0.2500 0.7500 0.5000  8 O 2.04-2.21
O1 0.3075 0.1157 0.8083  1 Ge 1.74
O2 0.3075 0.4992 0.1917  1 Ge 1.74
O3 0.3566 0.0425 0.3141  1 Ge 1.79
O4 0.5008 0.6925 0.8083  1 Ge 1.74
O5 0.7284 0.0425 0.6859  1 Ge 1.79
O6 0.8843 0.6925 0.1917  1 Ge 1.74
O7 0.9575 0.2716 0.3141  1 Ge 1.79
O8 0.9575 0.6434 0.6859  1 Ge 1.79

Values from the calculation:
Magnetic moment, μB per formula unit: 4.00
Symmetry: I-4m2, No. 119
Total DFT energy (no corrections), eV per atom: -6.77